Entry 1:
The following is a PBE+U calculation of a relaxed structure of Na3FeH10C6O17, from Alexandria.

Cell: 10.972 10.972 15.026 Å, 98.73 98.73 71.76°
Sites, in units of the cell vectors:
Na 0.002 0.998 0.750
Na 0.005 0.768 0.983
Na 0.232 0.995 0.517
Na 0.271 0.729 0.250
Na 0.346 0.573 0.000
Na 0.427 0.654 0.500
Na 0.573 0.346 0.500
Na 0.654 0.427 0.000
Na 0.729 0.271 0.750
Na 0.768 0.005 0.483
Na 0.995 0.232 0.017
Na 0.998 0.002 0.250
Fe 0.174 0.440 0.762
Fe 0.440 0.174 0.262
Fe 0.560 0.826 0.738
Fe 0.826 0.560 0.238
H 0.077 0.510 0.396
H 0.112 0.480 0.972
H 0.124 0.384 0.449
H 0.147 0.771 0.446
H 0.154 0.522 0.075
H 0.154 0.779 0.554
H 0.205 0.264 0.964
H 0.221 0.846 0.946
H 0.229 0.853 0.054
H 0.251 0.252 0.069
H 0.252 0.251 0.569
H 0.264 0.205 0.464
H 0.280 0.473 0.488
H 0.310 0.511 0.590
H 0.384 0.124 0.949
H 0.473 0.280 0.988
H 0.478 0.846 0.425
H 0.480 0.112 0.472
H 0.489 0.690 0.910
H 0.490 0.923 0.104
H 0.510 0.077 0.896
H 0.511 0.310 0.090
H 0.520 0.888 0.528
H 0.522 0.154 0.575
H 0.527 0.720 0.012
H 0.616 0.876 0.051
H 0.690 0.489 0.410
H 0.720 0.527 0.512
H 0.736 0.795 0.536
H 0.748 0.749 0.431
H 0.749 0.748 0.931
H 0.771 0.147 0.946
H 0.779 0.154 0.054
H 0.795 0.736 0.036
H 0.846 0.221 0.446
H 0.846 0.478 0.925
H 0.853 0.229 0.554
H 0.876 0.616 0.551
H 0.888 0.520 0.028
H 0.923 0.490 0.604
C 0.006 0.705 0.288
C 0.041 0.707 0.787
C 0.046 0.274 0.812
C 0.103 0.687 0.698
C 0.274 0.046 0.312
C 0.292 0.427 0.223
C 0.293 0.959 0.713
C 0.295 0.994 0.212
C 0.313 0.897 0.802
C 0.379 0.445 0.312
C 0.427 0.292 0.723
C 0.445 0.379 0.812
C 0.555 0.621 0.188
C 0.573 0.708 0.277
C 0.621 0.555 0.688
C 0.687 0.103 0.198
C 0.705 0.006 0.788
C 0.707 0.041 0.287
C 0.708 0.573 0.777
C 0.726 0.954 0.688
C 0.897 0.313 0.302
C 0.954 0.726 0.188
C 0.959 0.293 0.213
C 0.994 0.295 0.712
O 0.005 0.206 0.851
O 0.021 0.183 0.181
O 0.037 0.375 0.679
O 0.061 0.603 0.825
O 0.083 0.761 0.329
O 0.088 0.781 0.656
O 0.129 0.335 0.848
O 0.133 0.550 0.013
O 0.153 0.440 0.417
O 0.172 0.569 0.676
O 0.183 0.021 0.681
O 0.197 0.792 0.504
O 0.206 0.005 0.351
O 0.208 0.803 0.996
O 0.209 0.217 0.513
O 0.217 0.209 0.013
O 0.219 0.523 0.188
O 0.219 0.912 0.844
O 0.239 0.917 0.171
O 0.304 0.308 0.190
O 0.308 0.304 0.690
O 0.335 0.129 0.348
O 0.338 0.452 0.842
O 0.353 0.482 0.534
O 0.375 0.037 0.179
O 0.375 0.555 0.348
O 0.397 0.939 0.675
O 0.431 0.828 0.824
O 0.440 0.153 0.917
O 0.445 0.625 0.152
O 0.450 0.867 0.487
O 0.452 0.338 0.342
O 0.477 0.781 0.312
O 0.482 0.353 0.034
O 0.518 0.647 0.966
O 0.523 0.219 0.688
O 0.548 0.662 0.658
O 0.550 0.133 0.513
O 0.555 0.375 0.848
O 0.560 0.847 0.083
O 0.569 0.172 0.176
O 0.603 0.061 0.325
O 0.625 0.445 0.652
O 0.625 0.963 0.821
O 0.647 0.518 0.466
O 0.662 0.548 0.158
O 0.665 0.871 0.652
O 0.692 0.696 0.310
O 0.696 0.692 0.810
O 0.761 0.083 0.829
O 0.781 0.088 0.156
O 0.781 0.477 0.812
O 0.783 0.791 0.987
O 0.791 0.783 0.487
O 0.792 0.197 0.004
O 0.794 0.995 0.649
O 0.803 0.208 0.496
O 0.817 0.979 0.319
O 0.828 0.431 0.324
O 0.847 0.560 0.583
O 0.867 0.450 0.987
O 0.871 0.665 0.152
O 0.912 0.219 0.344
O 0.917 0.239 0.671
O 0.939 0.397 0.175
O 0.963 0.625 0.321
O 0.979 0.817 0.819
O 0.995 0.794 0.149

Output
E: -0.4551 Ry per atom
M_tot: 4.885 μB per formula unit
N(E_F): 0.00 states/eV per atom

Entry 2:
The following is a PBE+U calculation of a relaxed structure of FeHC2O3, from Alexandria.

Cell: 3.428 10.103 8.836 Å, 90.00 103.69 90.00°
Sites, in units of the cell vectors:
Fe 0.197 0.113 0.418
Fe 0.197 0.387 0.918
Fe 0.803 0.613 0.082
Fe 0.803 0.887 0.582
H 0.135 0.642 0.837
H 0.135 0.858 0.337
H 0.865 0.142 0.663
H 0.865 0.358 0.163
C 0.353 0.083 0.944
C 0.353 0.417 0.444
C 0.444 0.550 0.394
C 0.444 0.950 0.894
C 0.556 0.050 0.106
C 0.556 0.450 0.606
C 0.647 0.583 0.556
C 0.647 0.917 0.056
O 0.171 0.182 0.873
O 0.171 0.318 0.373
O 0.218 0.596 0.937
O 0.218 0.904 0.437
O 0.379 0.610 0.265
O 0.379 0.890 0.765
O 0.621 0.110 0.235
O 0.621 0.390 0.735
O 0.782 0.096 0.563
O 0.782 0.404 0.063
O 0.829 0.682 0.627
O 0.829 0.818 0.127

Output
E: -0.5109 Ry per atom
M_tot: 3.998 μB per formula unit
N(E_F): 0.00 states/eV per atom

Entry 3:
The following is a PBE+U calculation of a relaxed structure of Fe4H12C15O31, from Alexandria.

Cell: 10.316 10.316 10.316 Å, 109.47 109.47 109.47°
Sites, in units of the cell vectors:
Fe 0.000 0.000 0.500
Fe 0.000 0.500 0.000
Fe 0.500 0.000 0.000
Fe 0.500 0.500 0.500
H 0.107 0.315 0.792
H 0.208 0.523 0.315
H 0.208 0.893 0.685
H 0.315 0.208 0.523
H 0.315 0.792 0.107
H 0.477 0.685 0.792
H 0.523 0.315 0.208
H 0.685 0.208 0.893
H 0.685 0.792 0.477
H 0.792 0.107 0.315
H 0.792 0.477 0.685
H 0.893 0.685 0.208
C 0.000 0.500 0.500
C 0.022 0.761 0.261
C 0.239 0.261 0.500
C 0.239 0.739 0.978
C 0.261 0.022 0.761
C 0.261 0.500 0.239
C 0.500 0.000 0.500
C 0.500 0.239 0.261
C 0.500 0.500 0.000
C 0.500 0.761 0.739
C 0.739 0.500 0.761
C 0.739 0.978 0.239
C 0.761 0.261 0.022
C 0.761 0.739 0.500
C 0.978 0.239 0.739
O 0.000 0.000 0.000
O 0.095 0.711 0.198
O 0.095 0.897 0.384
O 0.099 0.599 0.500
O 0.103 0.198 0.487
O 0.103 0.616 0.905
O 0.198 0.095 0.711
O 0.198 0.487 0.103
O 0.289 0.384 0.487
O 0.289 0.802 0.905
O 0.384 0.095 0.897
O 0.384 0.487 0.289
O 0.401 0.500 0.901
O 0.487 0.103 0.198
O 0.487 0.289 0.384
O 0.500 0.099 0.599
O 0.500 0.901 0.401
O 0.513 0.711 0.616
O 0.513 0.897 0.802
O 0.599 0.500 0.099
O 0.616 0.513 0.711
O 0.616 0.905 0.103
O 0.711 0.198 0.095
O 0.711 0.616 0.513
O 0.802 0.513 0.897
O 0.802 0.905 0.289
O 0.897 0.384 0.095
O 0.897 0.802 0.513
O 0.901 0.401 0.500
O 0.905 0.103 0.616
O 0.905 0.289 0.802

Output
E: -0.4926 Ry per atom
M_tot: 21.832 μB per formula unit
N(E_F): 0.22 states/eV per atom

Entry 4:
The following is a PBE+U calculation of a relaxed structure of FeH4C3O8, from Alexandria.

Cell: 5.726 6.919 9.053 Å, 91.53 98.43 96.38°
Sites, in units of the cell vectors:
Fe 0.017 0.215 0.259
Fe 0.983 0.785 0.741
H 0.263 0.508 0.766
H 0.277 0.614 0.938
H 0.345 0.620 0.195
H 0.496 0.211 0.869
H 0.504 0.789 0.131
H 0.655 0.380 0.805
H 0.723 0.386 0.062
H 0.737 0.492 0.234
C 0.109 0.952 0.483
C 0.115 0.061 0.987
C 0.376 0.438 0.491
C 0.624 0.562 0.509
C 0.885 0.939 0.013
C 0.891 0.048 0.517
O 0.185 0.587 0.833
O 0.185 0.829 0.575
O 0.194 0.002 0.367
O 0.200 0.197 0.082
O 0.201 0.017 0.871
O 0.272 0.417 0.353
O 0.296 0.371 0.601
O 0.359 0.697 0.106
O 0.641 0.303 0.894
O 0.704 0.629 0.399
O 0.728 0.583 0.647
O 0.799 0.983 0.129
O 0.800 0.803 0.918
O 0.806 0.998 0.633
O 0.815 0.171 0.425
O 0.815 0.413 0.167

Output
E: -0.4805 Ry per atom
M_tot: 4.967 μB per formula unit
N(E_F): 0.00 states/eV per atom